An optimized crystal structure of NiAsPd2O6, computed with PBE with a Hubbard U.

The structure in POSCAR format:
```
NiAsPd2O6
1.0
-3.221 -4.090 2.202
4.002 -5.027 -1.053
3.007 -0.581 5.746
Pd O Ni As
4 12 2 2
direct
0.674 0.170 0.350
0.826 0.650 0.830
0.174 0.350 0.170
0.326 0.830 0.650
0.996 0.291 0.945
0.504 0.055 0.709
0.123 0.593 0.631
0.877 0.407 0.369
0.377 0.369 0.407
0.064 0.089 0.668
0.936 0.911 0.332
0.623 0.631 0.593
0.004 0.709 0.055
0.436 0.332 0.911
0.564 0.668 0.089
0.496 0.945 0.291
0.750 0.159 0.841
0.250 0.841 0.159
0.250 0.294 0.706
0.750 0.706 0.294
```

For the total energy, the calculation gives -5.257 eV/atom. The size of the total moment comes out at 1.0 μB/f.u.